Entry 1:
Density functional theory data (PBE-GGA) for an optimized crystal structure of SrLiTbGe.

Lattice parameters (Å, degrees): 5.272 5.272 5.272 60.00 60.00 60.00
Sites, in units of the cell vectors:
Sr 0.000 0.000 0.000
Li 0.250 0.250 0.250
Tb 0.500 0.500 0.500
Ge 0.750 0.750 0.750

Calculated values
DOS(E_F) (states/eV per atom): 0.5691
DFT formation energy (kJ/mol of formula units): -111.2

Entry 2:
Density functional theory data (PBE-GGA) for an optimized crystal structure of RbLi2AgCl4.

Lattice parameters (Å, degrees): 7.120 7.120 7.120 127.24 127.24 77.87
Sites, in units of the cell vectors:
Rb 0.000 0.000 0.000
Li 0.250 0.750 0.500
Li 0.750 0.250 0.500
Ag 0.500 0.500 0.000
Cl 0.125 0.550 0.000
Cl 0.450 0.450 0.575
Cl 0.550 0.125 0.000
Cl 0.875 0.875 0.425

Calculated values
Uncorrected formation energy (meV/atom): -1455.3
DOS(E_F) (states/eV per atom): 0.0000

Entry 3:
Density functional theory data (PBE-GGA) for an optimized crystal structure of Ca2AsPb.

Lattice parameters (Å, degrees): 3.878 3.878 8.165 90.00 90.00 90.20
Sites, in units of the cell vectors:
Ca 0.000 0.000 0.000
Ca 0.500 0.500 0.367
As 0.000 0.000 0.560
Pb 0.500 0.500 0.750

Calculated values
Excess energy over the best structure of this formula in the dataset (eV/f.u.): 1.73
DOS(E_F) (states/eV per atom): 1.0270
DFT formation energy (kJ/mol of formula units): -117.7

Entry 4:
Density functional theory data (PBE-GGA) for an optimized crystal structure of TmHf6Zr12.

Lattice parameters (Å, degrees): 6.315 7.898 10.026 108.49 108.34 90.03
Sites, in units of the cell vectors:
Tm 0.000 0.000 0.000
Hf 0.123 0.463 0.245
Hf 0.318 0.092 0.633
Hf 0.371 0.499 0.743
Hf 0.629 0.501 0.257
Hf 0.682 0.908 0.367
Hf 0.877 0.537 0.755
Zr 0.032 0.708 0.551
Zr 0.160 0.912 0.322
Zr 0.228 0.307 0.941
Zr 0.287 0.693 0.059
Zr 0.424 0.903 0.847
Zr 0.481 0.292 0.449
Zr 0.519 0.708 0.551
Zr 0.576 0.097 0.153
Zr 0.713 0.307 0.941
Zr 0.772 0.693 0.059
Zr 0.840 0.088 0.678
Zr 0.968 0.292 0.449

Calculated values
DOS(E_F) (states/eV per atom): 1.1783
DFT formation energy (kJ/mol of formula units): 160.8